[1]
DFT (SCAN) results for a crystal of AsP2Os relaxed with PBEsol.

Values from the calculation:
Final energy in eV per cell: -111.5
Fermi-level density of states in states/eV/atom: 0.341

Structure (POSCAR):
```
AsP2Os
1.0
-1.901 -1.394 -1.876
-1.535 -1.079 2.357
-3.961 5.491 -0.066
As Os P
1 1 2
Cartesian
-2.189 3.035 -0.037
-4.805 3.043 0.189
-0.038 0.053 -0.001
-2.345 -0.367 0.230
```

[2]
DFT (SCAN) results for a crystal of CrTeRh3 relaxed with PBEsol.

Values from the calculation:
Final energy in eV per cell: -153.0
Fermi-level density of states in states/eV/atom: 0.816

Structure (POSCAR):
```
CrTeRh3
1.0
4.436 0.000 0.000
0.000 4.436 0.000
0.000 0.000 4.436
Cr Te Rh
1 1 3
Cartesian
0.000 0.000 0.000
2.218 2.218 2.218
0.000 2.218 0.000
0.000 0.000 2.218
2.218 0.000 0.000
```

[3]
DFT (SCAN) results for a crystal of MnCrIrF2 relaxed with PBEsol.

Values from the calculation:
Final energy in eV per cell: -119.4
Fermi-level density of states in states/eV/atom: 0.860

Structure (POSCAR):
```
MnCrIrF2
1.0
-0.093 -2.834 -2.350
3.347 0.914 -1.235
2.232 -3.154 3.717
Cr Ir Mn F
1 1 1 2
Cartesian
2.743 -2.537 0.066
1.116 -1.577 1.858
0.000 0.000 0.000
1.674 0.457 -0.617
-0.046 -1.417 -1.175
```

[4]
DFT (SCAN) results for a crystal of Tl2HgAu relaxed with PBEsol.

Values from the calculation:
Final energy in eV per cell: -563.9
Energy above the lowest structure with this stoichiometry in meV/atom: 58
Fermi-level density of states in states/eV/atom: 0.353

Structure (POSCAR):
```
Tl2HgAu
1.0
6.065 0.000 0.000
3.033 5.788 0.000
3.033 0.000 5.788
Tl Au Hg
4 2 2
Cartesian
5.307 0.147 3.041
5.307 5.641 2.747
3.791 2.747 0.147
9.856 3.041 5.641
3.033 0.000 0.000
4.549 2.894 2.894
0.000 0.000 0.000
7.582 2.894 2.894
```

[5]
DFT (SCAN) results for a crystal of Cu3Pt relaxed with PBEsol.

Values from the calculation:
Final energy in eV per cell: -116.2
Fermi-level density of states in states/eV/atom: 0.350

Structure (POSCAR):
```
Cu3Pt
1.0
2.816 0.000 0.000
0.000 4.199 0.000
-1.408 -2.099 4.166
Cu Pt
3 1
Cartesian
1.408 2.099 2.169
0.000 0.000 1.997
1.408 0.000 0.000
0.000 2.099 0.000
```

[6]
DFT (SCAN) results for a crystal of RuN2 relaxed with PBEsol.

Values from the calculation:
Final energy in eV per cell: -105.5
Fermi-level density of states in states/eV/atom: 0.349

Structure (POSCAR):
```
RuN2
1.0
2.672 0.000 0.000
0.000 4.062 0.000
0.000 0.000 4.856
Ru N
2 4
Cartesian
0.000 0.000 0.000
1.336 2.031 2.428
1.336 1.530 4.406
0.000 0.501 1.978
1.336 2.532 0.450
0.000 3.562 2.878
```

[7]
DFT (SCAN) results for a crystal of CdIrOs2 relaxed with PBEsol.

Values from the calculation:
Final energy in eV per cell: -243.3
Fermi-level density of states in states/eV/atom: 0.739

Structure (POSCAR):
```
CdIrOs2
1.0
-0.156 -2.730 0.129
2.902 0.000 3.516
-5.249 1.738 1.377
Cd Ir Os
1 1 2
Cartesian
-0.078 -1.365 0.064
1.451 0.000 1.758
-0.332 -1.201 3.229
-2.172 0.209 1.793
```

[8]
DFT (SCAN) results for a crystal of CsReCl4 relaxed with PBEsol.

Values from the calculation:
Final energy in eV per cell: -890.7

Structure (POSCAR):
```
CsReCl4
1.0
9.902 0.000 0.014
0.000 10.643 0.000
-0.046 0.000 9.902
Cs Re Cl
6 6 24
Cartesian
1.911 2.661 5.520
5.092 7.982 6.916
6.885 2.661 5.134
9.851 0.000 9.911
5.508 7.982 1.944
9.851 5.322 9.911
9.732 6.756 5.487
5.428 3.887 9.765
3.579 2.661 0.820
5.428 1.435 9.765
0.798 7.982 3.584
9.732 9.208 5.487
4.608 1.065 7.628
3.002 7.982 4.253
6.678 4.242 1.796
9.195 0.790 6.616
3.598 0.258 0.801
2.142 2.661 8.878
7.600 6.386 4.654
6.560 6.112 9.235
1.756 6.401 6.688
4.235 2.661 3.028
0.780 5.579 3.603
7.271 2.661 8.828
0.780 10.385 3.603
7.600 9.579 4.654
3.598 5.064 0.801
1.281 2.661 1.948
9.195 4.531 6.616
6.678 1.080 1.796
8.865 7.982 2.196
1.756 9.563 6.688
4.608 4.257 7.628
6.560 9.853 9.235
8.784 7.982 7.325
1.941 7.982 1.293
```

[9]
DFT (SCAN) results for a crystal of CdAsW2 relaxed with PBEsol.

Values from the calculation:
Final energy in eV per cell: -187.4
Energy above the lowest structure with this stoichiometry in meV/atom: 30
Fermi-level density of states in states/eV/atom: 0.554

Structure (POSCAR):
```
CdAsW2
1.0
3.113 0.000 0.000
0.000 4.703 0.000
-1.556 -2.352 4.515
As W Cd
1 2 1
Cartesian
1.556 0.000 0.000
1.556 2.352 2.519
0.000 0.000 1.996
0.000 2.352 0.000
```

[10]
DFT (SCAN) results for a crystal of ReP3 relaxed with PBEsol.

Values from the calculation:
Final energy in eV per cell: -199.6
Energy above the lowest structure with this stoichiometry in meV/atom: 1012
Fermi-level density of states in states/eV/atom: 0.631

Structure (POSCAR):
```
ReP3
1.0
-4.253 -1.603 -1.419
2.059 -3.927 -1.734
-0.587 -2.163 4.201
P Re
6 2
Cartesian
-2.160 -3.166 -1.931
-0.034 -2.364 -1.222
1.250 -4.027 0.800
0.221 -2.063 1.667
-2.273 -1.342 0.341
-2.567 -2.423 2.441
0.000 0.000 0.000
-1.391 -3.846 0.524
```

[11]
DFT (SCAN) results for a crystal of TaPt2Se relaxed with PBEsol.

Values from the calculation:
Final energy in eV per cell: -227.3
Fermi-level density of states in states/eV/atom: 0.858

Structure (POSCAR):
```
TaPt2Se
1.0
-2.943 0.133 -2.517
2.496 -0.388 -2.938
-0.165 -4.112 2.958
Pt Se Ta
2 1 1
Cartesian
-1.665 -2.054 -1.143
1.054 -2.314 -1.354
-0.223 -0.128 -2.728
0.000 0.000 0.000
```

[12]
DFT (SCAN) results for a crystal of TbAl3 relaxed with PBEsol.

Values from the calculation:
Final energy in eV per cell: -71.8
Fermi-level density of states in states/eV/atom: 0.298

Structure (POSCAR):
```
TbAl3
1.0
4.226 0.000 0.000
0.000 4.226 0.000
0.000 0.000 4.226
Tb Al
1 3
Cartesian
0.000 0.000 0.000
2.113 0.000 2.113
0.000 2.113 2.113
2.113 2.113 0.000
```

[13]
DFT (SCAN) results for a crystal of MgAl10O16 relaxed with PBEsol.

Values from the calculation:
Final energy in eV per cell: -271.9
Fermi-level density of states in states/eV/atom: 0.000

Structure (POSCAR):
```
MgAl10O16
1.0
5.678 0.000 0.000
2.839 4.917 0.000
2.839 1.639 9.055
Mg Al O
1 10 16
Cartesian
2.839 1.639 3.883
8.516 4.917 8.421
7.142 2.433 6.897
8.516 4.917 5.151
5.678 4.968 6.897
7.108 4.104 2.182
4.213 2.433 6.897
5.678 1.626 2.182
4.247 4.104 2.182
5.678 3.278 4.473
2.839 1.639 0.672
6.987 4.034 5.685
5.678 1.765 5.685
9.930 5.733 7.778
8.516 3.284 7.778
7.102 5.733 7.778
5.678 3.278 1.151
6.923 2.559 3.310
2.839 1.639 5.860
5.678 3.278 7.861
4.368 4.034 5.685
4.271 0.812 1.289
8.516 4.917 3.335
1.406 0.812 1.289
2.839 3.293 1.289
5.678 4.716 3.310
4.432 2.559 3.310
```

[14]
DFT (SCAN) results for a crystal of Hf3NbF relaxed with PBEsol.

Values from the calculation:
Final energy in eV per cell: -227.3
Fermi-level density of states in states/eV/atom: 0.884

Structure (POSCAR):
```
Hf3NbF
1.0
-0.798 3.136 3.070
-3.991 -1.816 0.818
1.825 -2.600 3.131
Nb Hf F
1 3 1
Cartesian
-1.482 -0.640 3.509
-1.995 -0.908 0.409
0.912 -1.300 1.565
-0.399 1.568 1.535
0.000 0.000 0.000
```

[15]
DFT (SCAN) results for a crystal of KDyO3 relaxed with PBEsol.

Values from the calculation:
Final energy in eV per cell: -85.1
Fermi-level density of states in states/eV/atom: 0.783

Structure (POSCAR):
```
KDyO3
1.0
4.409 0.000 0.000
0.000 4.409 0.000
0.000 0.000 4.409
K Dy O
1 1 3
Cartesian
0.000 0.000 0.000
2.205 2.205 2.205
2.205 2.205 0.000
2.205 0.000 2.205
0.000 2.205 2.205
```

[16]
DFT (SCAN) results for a crystal of TaMo relaxed with PBEsol.

Values from the calculation:
Final energy in eV per cell: -202.0
Fermi-level density of states in states/eV/atom: 0.876

Structure (POSCAR):
```
TaMo
1.0
2.683 0.000 0.000
0.000 2.683 0.000
0.000 0.000 9.305
Mo Ta
2 2
Cartesian
1.341 0.000 1.133
0.000 1.341 8.172
1.341 0.000 5.841
0.000 1.341 3.464
```

[17]
DFT (SCAN) results for a crystal of Ti2Bi2O7 relaxed with PBEsol.

Values from the calculation:
Final energy in eV per cell: -516.6
Energy above the lowest structure with this stoichiometry in meV/atom: 34
Fermi-level density of states in states/eV/atom: 0.000

Structure (POSCAR):
```
Ti2Bi2O7
1.0
7.280 0.000 0.000
3.640 6.304 0.000
3.640 2.101 5.944
Ti Bi O
4 4 14
Cartesian
9.099 5.254 3.715
7.280 2.101 3.715
5.460 5.254 3.715
7.280 4.203 0.743
5.460 1.051 0.743
1.820 1.051 0.743
3.640 2.101 3.715
3.640 4.203 0.743
7.280 2.526 1.786
8.731 3.365 4.157
0.000 0.000 0.000
10.919 7.981 5.643
8.731 5.041 1.786
7.280 5.879 4.157
5.828 5.041 1.786
9.467 7.143 3.272
10.919 4.628 3.272
5.828 3.365 4.157
12.371 5.466 5.643
12.371 7.143 3.272
9.467 5.466 5.643
3.640 2.101 1.486
```

[18]
DFT (SCAN) results for a crystal of FeIr3C relaxed with PBEsol.

Values from the calculation:
Final energy in eV per cell: -239.1
Fermi-level density of states in states/eV/atom: 0.807

Structure (POSCAR):
```
FeIr3C
1.0
-2.506 -1.145 -2.932
-2.700 -1.144 2.755
-1.618 3.683 -0.056
C Ir Fe
1 3 1
Cartesian
0.000 0.000 0.000
-1.350 -0.572 1.377
-0.809 1.842 -0.028
-1.253 -0.573 -1.466
-3.412 0.697 -0.117
```

[19]
DFT (SCAN) results for a crystal of Ta4Zn3 relaxed with PBEsol.

Values from the calculation:
Final energy in eV per cell: -307.8
Fermi-level density of states in states/eV/atom: 0.332

Structure (POSCAR):
```
Ta4Zn3
1.0
4.990 0.000 0.000
-2.495 4.321 0.000
0.000 0.000 5.083
Zn Ta
3 4
Cartesian
-1.247 2.161 0.000
2.495 0.000 0.000
1.247 2.161 0.000
0.000 0.000 3.758
0.000 0.000 1.325
0.000 2.881 2.541
2.495 1.440 2.541
```

[20]
DFT (SCAN) results for a crystal of Li2ZrIn relaxed with PBEsol.

Values from the calculation:
Final energy in eV per cell: -69.1
Fermi-level density of states in states/eV/atom: 0.888

Structure (POSCAR):
```
Li2ZrIn
1.0
-1.798 1.046 -2.039
2.010 -3.388 -3.509
-3.809 -2.473 4.172
In Li Zr
1 2 1
Cartesian
1.005 -1.694 -1.755
-1.590 -2.840 -2.135
-2.007 -1.975 0.757
-0.899 0.523 -1.020
```